Entry from Alexandria via LeMat-Bulk: a geometry-optimized LiScVO4 structure (PBE+U).

Output
For the electronic total energy, the calculation gives -107.24 eV/cell. For the polymorph energy (0 for the lowest one), the calculation gives 0 meV/atom.

Lattice parameters (Å, degrees): 6.0306 6.0790 6.0790 62.20 60.26 60.26
Element x y z (fractional)
O 0.7916 0.7254 0.2254
O 0.7541 0.7101 0.7817
O 0.2576 0.7254 0.2254
O 0.2459 0.7183 0.7899
Sc 0.0000 0.5000 0.5000
Li 0.3813 0.8687 0.3687
V 0.5000 0.5000 0.0000
Li 0.6187 0.1313 0.6313
O 0.2084 0.2746 0.7746
V 0.0000 0.5000 0.0000
Sc 0.0000 0.0000 0.0000
O 0.2459 0.2899 0.2183
O 0.7424 0.2746 0.7746
O 0.7541 0.2817 0.2101